A plane-wave DFT calculation with PBE-GGA was carried out for FeNiHIr2 after structural relaxation.

Cell lengths 3.901, 3.901, 3.667 Å; angles 90.00, 90.00, 90.00 degrees
Space group P4/mmm (No. 123)
Asymmetric unit:
Fe: 0.000 0.000 0.000 (multiplicity 1)
Ni: 0.500 0.500 0.000 (multiplicity 1)
H: 0.500 0.500 0.500 (multiplicity 1)
Ir: 0.000 0.500 0.500 (multiplicity 2)

Uncorrected energy (eV per atom): -6.996